# ZnPd3Au2

A relaxed ZnPd3Au2 crystal (PBE-GGA, the Alexandria database).

POSCAR file:
```
ZnPd3Au2
1.0
-3.3216 -1.2979 2.4864
0.3995 -6.8322 0.8673
3.7908 0.9259 5.5466
Zn Pd Au
2 6 4
Cartesian
-1.0021 -2.6379 1.1250
-1.9200 -5.4921 2.2287
0.3191 -2.7237 6.6488
-0.7422 -0.4246 2.5872
0.5495 -4.4804 2.2514
-1.7533 -3.2299 3.6164
2.6220 -3.9742 5.2839
1.2114 0.0526 5.4458
0.0000 0.0000 0.0000
1.8954 0.4629 2.7733
0.9191 -2.2543 3.8939
-0.0505 -4.9499 5.0064
```

Values from the calculation:
N(E_F) ... 3.25 states/eV/cell
Crystal system ... monoclinic
Total DFT energy (no corrections) ... -4.164 eV per atom